# 1
First-principles (PBE-GGA) data for a relaxed structure of Ca4H2Pt, as listed in the Alexandria database.

POSCAR file:
```
Ca4H2Pt
1.0
-2.815 2.815 5.936
2.815 -2.815 5.936
2.815 2.815 -5.936
Ca H Pt
4 2 1
direct
0.000 0.500 0.500
0.238 0.238 0.000
0.500 0.000 0.500
0.762 0.762 0.000
0.463 0.463 0.000
0.537 0.537 0.000
0.000 0.000 0.000
```

Values from the calculation:
Spin magnetization, Bohr magnetons per cell: 0.00
DFT total energy, eV per atom: -3.237

---

# 2
First-principles (PBE-GGA) data for a relaxed structure of ErHfCuS4, as listed in the Alexandria database.

POSCAR file:
```
ErHfCuS4
1.0
-3.716 3.795 5.334
3.716 -3.795 5.334
3.716 3.795 -5.334
Er Hf Cu S
2 2 2 8
direct
0.000 0.000 0.000
0.500 0.000 0.500
0.500 0.000 0.000
0.500 0.500 0.500
0.128 0.378 0.750
0.872 0.622 0.250
0.259 0.746 0.513
0.262 0.266 0.504
0.262 0.758 0.996
0.267 0.254 0.013
0.733 0.746 0.987
0.738 0.242 0.004
0.738 0.734 0.496
0.741 0.254 0.487
```

Values from the calculation:
Spin magnetization, Bohr magnetons per cell: 0.00
Formation energy from raw total energies, meV per atom: -1461
DFT total energy, eV per atom: -6.478

---

# 3
First-principles (PBE-GGA) data for a relaxed structure of ZnHgIr, as listed in the Alexandria database.

POSCAR file:
```
ZnHgIr
1.0
0.000 2.526 6.857
1.479 0.000 6.857
1.479 2.526 0.000
Zn Hg Ir
1 1 1
direct
0.000 0.000 0.000
0.325 0.325 0.675
0.648 0.648 0.352
```

Values from the calculation:
Spin magnetization, Bohr magnetons per cell: 0.00
DFT total energy, eV per atom: -3.213

---

# 4
First-principles (PBE-GGA) data for a relaxed structure of Ba2MnAgH, as listed in the Alexandria database.

POSCAR file:
```
Ba2MnAgH
1.0
5.864 0.000 0.000
0.000 5.864 0.000
0.000 0.000 3.916
Ba Mn Ag H
2 1 1 1
direct
0.000 0.500 0.000
0.500 0.000 0.000
0.000 0.000 0.500
0.500 0.500 0.500
0.000 0.000 0.000
```

Values from the calculation:
Spin magnetization, Bohr magnetons per cell: 3.54
DFT total energy, eV per atom: -3.774